Entry 1:
Density functional theory data (GGA-PBE) for a relaxed structure of CdAs3Br.

a b c (Å): 5.122 5.122 5.122
angles (deg): 90.00 90.00 90.00
Space group Pm-3m (No. 221)
Asymmetric unit:
Cd: 0.000 0.000 0.000 x1
As: 0.000 0.500 0.500 x3
Br: 0.500 0.500 0.500 x1

**Excess energy over the best structure of this formula in the dataset**: 0.113 eV/atom
**Magnetic moment**: 0.00 μB per cell
**Crystal system**: cubic
**Formation energy (no corrections)**: 1099.6 meV per atom



Entry 2:
Density functional theory data (GGA-PBE) for a relaxed structure of Cu3AgSe.

a b c (Å): 4.583 4.583 4.583
angles (deg): 90.00 90.00 90.00
Space group Pm-3m (No. 221)
Asymmetric unit:
Cu: 0.000 0.000 0.500 x3
Ag: 0.500 0.500 0.500 x1
Se: 0.000 0.000 0.000 x1

**Excess energy over the best structure of this formula in the dataset**: 0.000 eV/atom
**Magnetic moment**: 0.00 μB per cell
**Crystal system**: cubic
**Formation energy (no corrections)**: 504.2 meV per atom



Entry 3:
Density functional theory data (GGA-PBE) for a relaxed structure of SmTiIr4.

a b c (Å): 7.476 7.476 7.476
angles (deg): 90.00 90.00 90.00
Space group F-43m (No. 216)
Asymmetric unit:
Sm: 0.000 0.000 0.000 x4
Ti: 0.250 0.250 0.750 x4
Ir: 0.125 0.125 0.375 x16

**Energy of formation**: -0.505 eV per atom
**Magnetic moment**: 0.00 μB per cell
**Crystal system**: cubic



Entry 4:
Density functional theory data (GGA-PBE) for a relaxed structure of Tl3AgSb2Se6.

a b c (Å): 7.239 12.540 7.601
angles (deg): 90.00 108.60 90.00
Space group C2/m (No. 12)
Asymmetric unit:
Tl: 0.000 0.000 0.000 x2
Tl: 0.000 0.333 0.000 x4
Ag: 0.000 0.500 0.500 x2
Sb: 0.000 0.166 0.500 x4
Se: 0.240 0.000 0.714 x4
Se: 0.241 0.334 0.719 x8

**Magnetic moment**: 0.00 μB per cell
**Crystal system**: monoclinic
**Formation energy (no corrections)**: -269.1 meV per atom